This record from the Alexandria database describes a relaxed structure of LaSn2Sb2. The functional is GGA-PBE.

Values from the calculation:
The value obtained for the uncorrected formation energy is -0.2966 eV per atom. As for the total magnetic moment: 0.00 μB per formula unit. As for the space group: P4/mbm (127).

Unit cell a=8.440 b=8.440 c=4.138 alpha=90.00 beta=90.00 gamma=90.00
Sites, in units of the cell vectors:
Sn (0.375, 0.875, 0.000)
Sn (0.625, 0.125, 0.000)
Sb (0.191, 0.691, 0.500)
Sn (0.125, 0.375, 0.000)
Sb (0.809, 0.309, 0.500)
Sn (0.875, 0.625, 0.000)
La (0.000, 0.000, 0.000)
La (0.500, 0.500, 0.000)
Sb (0.691, 0.809, 0.500)
Sb (0.309, 0.191, 0.500)

This record from the Alexandria database describes a relaxed structure of Sc2ReTc. The functional is GGA-PBE.

Values from the calculation:
As for the total magnetic moment: 0.00 μB per formula unit. The formation energy comes out at -0.2 kJ/mol of atoms. As for the space group: C2/m (12).

Unit cell a=5.403 b=5.270 c=2.881 alpha=78.37 beta=81.95 gamma=118.32
Sites, in units of the cell vectors:
Re (0.500, 0.500, 0.000)
Tc (0.000, 0.500, 0.500)
Sc (0.500, 0.000, 0.500)
Sc (0.000, 0.000, 0.000)

This record from the Alexandria database describes a relaxed structure of TbSc2InC. The functional is GGA-PBE.

Values from the calculation:
As for the total magnetic moment: 0.00 μB per formula unit. The formation energy comes out at -56.0 kJ/mol of atoms. As for the space group: P4/mmm (123).

Unit cell a=4.904 b=4.602 c=4.602 alpha=90.00 beta=90.00 gamma=90.00
Sites, in units of the cell vectors:
Sc (0.000, 0.500, 0.000)
Sc (0.000, 0.000, 0.500)
Tb (0.500, 0.000, 0.000)
In (0.500, 0.500, 0.500)
C (0.000, 0.000, 0.000)

This record from the Alexandria database describes a relaxed structure of AcLa2NdDy. The functional is GGA-PBE.

Values from the calculation:
As for the total magnetic moment: 0.00 μB per formula unit. The formation energy comes out at 30.7 kJ/mol of atoms. As for the space group: Cmcm (63).

Unit cell a=7.648 b=8.230 c=7.395 alpha=123.81 beta=90.00 gamma=90.00
Sites, in units of the cell vectors:
Dy (0.250, 0.307, 0.613)
Ac (0.250, 0.758, 0.516)
Nd (0.250, 0.060, 0.120)
La (0.500, 0.297, 0.000)
Ac (0.750, 0.242, 0.484)
La (0.000, 0.703, 0.000)
Dy (0.750, 0.693, 0.387)
La (0.500, 0.703, 0.000)
La (0.000, 0.297, 0.000)
Nd (0.750, 0.940, 0.880)

This record from the Alexandria database describes a relaxed structure of Mg2PbW. The functional is GGA-PBE.

Values from the calculation:
As for the total magnetic moment: 0.00 μB per formula unit. The formation energy comes out at 52.3 kJ/mol of atoms. As for the space group: Pmm2 (25).

Unit cell a=3.092 b=4.328 c=6.054 alpha=90.00 beta=90.00 gamma=90.00
Sites, in units of the cell vectors:
Mg (0.500, 0.500, 0.237)
Pb (0.000, 0.000, 0.511)
W (0.500, 0.500, 0.764)
Mg (0.000, 0.000, 0.987)

This record from the Alexandria database describes a relaxed structure of CsCu3Sb. The functional is GGA-PBE.

Values from the calculation:
The value obtained for the uncorrected formation energy is 0.3415 eV per atom. As for the total magnetic moment: 0.00 μB per formula unit. As for the space group: Pm-3m (221).

Unit cell a=5.140 b=5.140 c=5.140 alpha=90.00 beta=90.00 gamma=90.00
Sites, in units of the cell vectors:
Cu (0.500, 0.000, 0.000)
Cs (0.500, 0.500, 0.500)
Sb (0.000, 0.000, 0.000)
Cu (0.000, 0.000, 0.500)
Cu (0.000, 0.500, 0.000)

This record from the Alexandria database describes a relaxed structure of InBiSb. The functional is GGA-PBE.

Values from the calculation:
The value obtained for the uncorrected formation energy is 0.0824 eV per atom. As for the total magnetic moment: 0.00 μB per formula unit. As for the space group: C2/m (12).

Unit cell a=4.363 b=4.778 c=10.010 alpha=108.75 beta=102.59 gamma=90.00
Sites, in units of the cell vectors:
Bi (0.569, 0.898, 0.138)
Sb (0.880, 0.630, 0.760)
Sb (0.120, 0.370, 0.240)
In (0.266, 0.248, 0.531)
Bi (0.431, 0.102, 0.862)
In (0.734, 0.752, 0.469)

This record from the Alexandria database describes a relaxed structure of SrMgMo2. The functional is GGA-PBE.

Values from the calculation:
As for the total magnetic moment: 0.00 μB per formula unit. The formation energy comes out at 37.3 kJ/mol of atoms. As for the space group: Pm (6).

Unit cell a=3.335 b=3.347 c=8.759 alpha=69.44 beta=90.00 gamma=90.00
Sites, in units of the cell vectors:
Sr (0.000, 0.510, 0.473)
Mo (0.000, 0.995, 0.034)
Mg (0.500, 0.692, 0.815)
Mo (0.500, 0.303, 0.178)

This record from the Alexandria database describes a relaxed structure of BaIn2Br. The functional is GGA-PBE.

Values from the calculation:
The value obtained for the uncorrected formation energy is -0.5131 eV per atom. As for the total magnetic moment: 0.00 μB per formula unit. As for the space group: Pmmm (47).

Unit cell a=4.026 b=6.186 c=6.138 alpha=90.00 beta=90.00 gamma=90.00
Sites, in units of the cell vectors:
Ba (0.500, 0.500, 0.250)
Br (0.500, 0.500, 0.750)
In (0.000, 0.000, 0.008)
In (0.000, 0.000, 0.492)

This record from the Alexandria database describes a relaxed structure of Mg6Cd5Sb. The functional is GGA-PBE.

Values from the calculation:
The value obtained for the uncorrected formation energy is -0.1093 eV per atom. As for the total magnetic moment: 0.00 μB per formula unit. As for the space group: P-1 (2).

Unit cell a=5.315 b=6.615 c=9.625 alpha=109.27 beta=120.97 gamma=90.51
Sites, in units of the cell vectors:
Cd (0.000, 0.500, 0.000)
Mg (0.502, 0.251, 0.001)
Mg (0.169, 0.419, 0.337)
Mg (0.498, 0.749, 0.999)
Cd (0.340, 0.337, 0.673)
Mg (0.831, 0.581, 0.663)
Cd (0.660, 0.663, 0.327)
Cd (0.685, 0.170, 0.340)
Cd (0.315, 0.830, 0.660)
Sb (0.000, 0.000, 0.000)
Mg (0.168, 0.917, 0.338)
Mg (0.832, 0.083, 0.662)

This record from the Alexandria database describes a relaxed structure of RbCoNiCl5. The functional is GGA-PBE.

Values from the calculation:
The value obtained for the uncorrected formation energy is -0.8943 eV per atom. As for the total magnetic moment: 3.01 μB per formula unit. As for the space group: C2/c (15).

Unit cell a=7.582 b=7.582 c=8.182 alpha=97.99 beta=97.99 gamma=99.47
Last column: magnetic moment on the atom in μB.
Sites, in units of the cell vectors:
Cl (0.274, 0.962, 0.608)  0.08
Cl (0.762, 0.534, 0.421)  0.13
Cl (0.076, 0.924, 0.250)  -0.02
Ni (0.000, 0.000, 0.000)  -0.06
Rb (0.632, 0.368, 0.750)  0.00
Rb (0.368, 0.632, 0.250)  0.00
Cl (0.534, 0.762, 0.921)  0.13
Cl (0.726, 0.038, 0.392)  0.08
Ni (0.000, 0.000, 0.500)  -0.06
Cl (0.238, 0.466, 0.579)  0.13
Co (0.273, 0.727, 0.750)  2.43
Cl (0.038, 0.726, 0.892)  0.08
Co (0.727, 0.273, 0.250)  2.43
Cl (0.466, 0.238, 0.079)  0.13
Cl (0.962, 0.274, 0.108)  0.08
Cl (0.924, 0.076, 0.750)  -0.02

This record from the Alexandria database describes a relaxed structure of BaThIn2Se4. The functional is GGA-PBE.

Values from the calculation:
The value obtained for the uncorrected formation energy is -1.2311 eV per atom. As for the total magnetic moment: 0.00 μB per formula unit. As for the space group: P2/m (10).

Unit cell a=4.464 b=8.061 c=7.889 alpha=71.33 beta=90.00 gamma=90.00
Sites, in units of the cell vectors:
Se (0.500, 0.716, 0.288)
Se (0.000, 0.277, 0.278)
Se (0.000, 0.723, 0.722)
In (0.500, 0.000, 0.500)
Th (0.000, 0.500, 0.500)
Se (0.500, 0.284, 0.712)
In (0.000, 0.000, 0.000)
Ba (0.500, 0.500, 0.000)

This record from the Alexandria database describes a relaxed structure of SrNd4Mg5. The functional is GGA-PBE.

Values from the calculation:
As for the total magnetic moment: 0.00 μB per formula unit. The formation energy comes out at -9.1 kJ/mol of atoms. As for the space group: P4/mmm (123).

Unit cell a=3.936 b=3.936 c=19.826 alpha=90.00 beta=90.00 gamma=90.00
Sites, in units of the cell vectors:
Mg (0.500, 0.500, 0.115)
Nd (0.000, 0.000, 0.212)
Mg (0.500, 0.500, 0.307)
Nd (0.000, 0.000, 0.596)
Nd (0.000, 0.000, 0.788)
Mg (0.500, 0.500, 0.885)
Mg (0.500, 0.500, 0.693)
Sr (0.000, 0.000, 0.000)
Mg (0.500, 0.500, 0.500)
Nd (0.000, 0.000, 0.404)

This record from the Alexandria database describes a relaxed structure of Tb3SiI3. The functional is GGA-PBE.

Values from the calculation:
The value obtained for the uncorrected formation energy is -1.1155 eV per atom. As for the total magnetic moment: 0.00 μB per formula unit. As for the space group: P2_1/m (11).

Unit cell a=4.238 b=8.879 c=12.236 alpha=90.69 beta=90.00 gamma=90.00
Sites, in units of the cell vectors:
I (0.750, 0.135, 0.119)
I (0.250, 0.371, 0.875)
Tb (0.750, 0.097, 0.386)
I (0.750, 0.615, 0.632)
I (0.750, 0.629, 0.125)
Tb (0.250, 0.882, 0.161)
Tb (0.250, 0.903, 0.614)
Tb (0.750, 0.118, 0.839)
Tb (0.250, 0.319, 0.621)
Si (0.750, 0.116, 0.617)
I (0.250, 0.865, 0.881)
Tb (0.750, 0.681, 0.379)
I (0.250, 0.385, 0.368)
Si (0.250, 0.884, 0.383)

This record from the Alexandria database describes a relaxed structure of Na3SrTl6. The functional is GGA-PBE.

Values from the calculation:
As for the total magnetic moment: 0.00 μB per formula unit. The formation energy comes out at -9.0 kJ/mol of atoms. As for the space group: Pnnm (58).

Unit cell a=5.480 b=10.410 c=11.241 alpha=90.00 beta=90.00 gamma=90.00
Sites, in units of the cell vectors:
Na (0.000, 0.759, 0.460)
Tl (0.500, 0.457, 0.820)
Tl (0.000, 0.446, 0.313)
Na (0.500, 0.741, 0.960)
Tl (0.000, 0.738, 0.176)
Tl (0.500, 0.946, 0.187)
Na (0.000, 0.241, 0.540)
Tl (0.500, 0.238, 0.324)
Tl (0.000, 0.957, 0.680)
Na (0.000, 0.500, 0.000)
Tl (0.500, 0.543, 0.180)
Tl (0.000, 0.262, 0.824)
Na (0.500, 0.000, 0.500)
Tl (0.500, 0.054, 0.813)
Sr (0.000, 0.000, 0.000)
Na (0.500, 0.259, 0.040)
Tl (0.500, 0.762, 0.676)
Tl (0.000, 0.043, 0.320)
Tl (0.000, 0.554, 0.687)
Sr (0.500, 0.500, 0.500)

This record from the Alexandria database describes a relaxed structure of TaZnNiPd. The functional is GGA-PBE.

Values from the calculation:
As for the total magnetic moment: 0.00 μB per formula unit. The formation energy comes out at -22.6 kJ/mol of atoms. As for the space group: F-43m (216).

Unit cell a=4.355 b=4.355 c=4.355 alpha=60.00 beta=60.00 gamma=60.00
Sites, in units of the cell vectors:
Ni (0.250, 0.250, 0.250)
Zn (0.000, 0.000, 0.000)
Pd (0.750, 0.750, 0.750)
Ta (0.500, 0.500, 0.500)

This record from the Alexandria database describes a relaxed structure of HgBiW2. The functional is GGA-PBE.

Values from the calculation:
As for the total magnetic moment: 0.00 μB per formula unit. The formation energy comes out at 111.4 kJ/mol of atoms. As for the space group: I-42d (122).

Unit cell a=4.140 b=4.140 c=10.649 alpha=78.79 beta=78.79 gamma=90.00
Sites, in units of the cell vectors:
W (0.563, 0.125, 0.250)
W (0.375, 0.437, 0.750)
Hg (0.250, 0.750, 0.500)
Hg (0.500, 0.500, 0.000)
Bi (0.750, 0.250, 0.500)
W (0.187, 0.625, 0.250)
Bi (0.000, 0.000, 0.000)
W (0.875, 0.813, 0.750)

This record from the Alexandria database describes a relaxed structure of LuZrRh4. The functional is GGA-PBE.

Values from the calculation:
As for the total magnetic moment: 0.00 μB per formula unit. The formation energy comes out at -66.1 kJ/mol of atoms. As for the space group: F-43m (216).

Unit cell a=5.252 b=5.252 c=5.252 alpha=60.00 beta=60.00 gamma=60.00
Sites, in units of the cell vectors:
Lu (0.000, 0.000, 0.000)
Rh (0.625, 0.124, 0.625)
Rh (0.124, 0.625, 0.625)
Rh (0.625, 0.625, 0.625)
Zr (0.250, 0.250, 0.250)
Rh (0.625, 0.625, 0.124)

This record from the Alexandria database describes a relaxed structure of Sm2ThZr. The functional is GGA-PBE.

Values from the calculation:
As for the total magnetic moment: 0.00 μB per formula unit. The formation energy comes out at 12.5 kJ/mol of atoms. As for the space group: P4/mmm (123).

Unit cell a=5.105 b=4.859 c=4.859 alpha=90.00 beta=90.00 gamma=90.00
Sites, in units of the cell vectors:
Sm (0.000, 0.500, 0.000)
Zr (0.500, 0.000, 0.000)
Th (0.500, 0.500, 0.500)
Sm (0.000, 0.000, 0.500)

This record from the Alexandria database describes a relaxed structure of CrCu2ReTe. The functional is GGA-PBE.

Values from the calculation:
The value obtained for the uncorrected formation energy is 1.3688 eV per atom. As for the total magnetic moment: 0.19 μB per formula unit. As for the space group: P4/mmm (123).

Unit cell a=4.777 b=4.459 c=4.777 alpha=90.00 beta=90.00 gamma=90.00
Last column: magnetic moment on the atom in μB.
Sites, in units of the cell vectors:
Te (0.500, 0.500, 0.500)  0.06
Re (0.000, 0.000, 0.000)  0.32
Cr (0.000, 0.500, 0.000)  -0.29
Cu (0.000, 0.000, 0.500)  0.05
Cu (0.500, 0.000, 0.000)  0.02

Result set for volume: 294.8, 68.1, 103.9, 386.7, 81.0, 135.8, 192.3, 91.5, 152.9, 267.2, 453.1, 268.9, 307.1, 460.4, 641.2, 58.4, 175.5, 102.4, 120.5, 101.7 Å³ per cell, one per record in the order listed.
Result set for DFT total energy: -4.53, -8.87, -6.43, -4.35, -4.42, -3.11, -3.50, -5.85, -2.78, -1.63, -3.78, -4.83, -2.97, -4.54, -2.08, -6.26, -6.37, -7.76, -6.22, -5.31 eV per atom, one per record in the order listed.